The following is a DFT calculation (PBE) of ZnTc after structural relaxation.

Results
For the total moment, the calculation gives 0.0 μB/f.u. Its space group is Cm (8). As for the formation energy: 74.2 meV/atom. For the total DFT energy (no corrections), the calculation gives -11.5 eV per formula unit.

Structure (POSCAR):
```
ZnTc
1.0
5.685 -1.451 0.000
5.685 1.451 0.000
-1.276 0.000 5.247
Zn Tc
3 3
Direct
0.000 0.000 0.000
0.011 0.011 0.521
0.663 0.663 0.334
0.333 0.333 0.656
0.337 0.337 0.192
0.686 0.686 0.852
```